Material: Rb2TbCrO4
Method: DFT, PBE+U
State: optimized geometry

The structure belongs to space group P2/m (No. 10); the cell edges are 5.7677, 3.3750 and 6.7510 Å and the angles 90.00°, 106.90° and 90.00°. The inequivalent atoms are Rb at (0.0000, 0.0000, 0.0000), Rb at (0.5000, 0.5000, 0.0000), Tb at (0.0000, 0.5000, 0.5000), Cr at (0.5000, 0.0000, 0.5000), O at (0.2462, 0.0000, 0.6726) and O at (0.2970, 0.5000, 0.3325).

As for the density of states at the Fermi level: 0.0 states/eV per cell. The electronic total energy comes out at -6.345 eV per atom.